This record from the Alexandria database describes a geometry-optimized CeZrBi structure. The functional is PBE.

a = 3.523 Å, b = 5.230 Å, c = 5.230 Å
α = 120.00°, β = 90.00°, γ = 90.00°
Fractional positions:
Zr: 0.167 0.333 0.667
Bi: 0.166 0.000 0.000
Ce: 0.667 0.667 0.333

Results
- Energy of formation from the pure elements: -0.11 eV/atom
- Final energy: -18.680 eV for the cell shown